{"formula": "SmDyZn2Ge2", "functional": "PBE", "state": "relaxed", "lattice": [[4.2595, 0.0000, 0.0000], [-2.1298, 3.6888, 0.0000], [0.0000, 0.0000, 15.8288]], "species": ["Sm", "Sm", "Dy", "Dy", "Zn", "Zn", "Zn", "Zn", "Ge", "Ge", "Ge", "Ge"], "fractional_positions": [[0.0000, 0.0000, 0.0000], [0.0000, 0.0000, 0.5000], [0.0000, 0.0000, 0.2500], [0.0000, 0.0000, 0.7500], [0.3333, 0.6667, 0.1489], [0.3333, 0.6667, 0.3511], [0.6667, 0.3333, 0.6489], [0.6667, 0.3333, 0.8511], [0.3333, 0.6667, 0.6166], [0.3333, 0.6667, 0.8834], [0.6667, 0.3333, 0.1166], [0.6667, 0.3333, 0.3834]], "de_polymorph_ev_per_atom": 0.0000, "m_tot_mub_per_fu": 0.00, "rho_g_cm3": 7.86, "dft_energy_ev_per_atom": -4.20}

=====

{"formula": "Dy3Sn4Ge4", "functional": "PBE", "state": "relaxed", "lattice": [[-2.0161, 3.9841, 8.5557], [2.0161, -3.9841, 8.5557], [2.0161, 3.9841, -8.5557]], "species": ["Dy", "Dy", "Dy", "Sn", "Sn", "Sn", "Sn", "Ge", "Ge", "Ge", "Ge"], "fractional_positions": [[0.0000, 0.0000, 0.0000], [0.3749, 0.8749, 0.5000], [0.6251, 0.1251, 0.5000], [0.2193, 0.2193, 0.0000], [0.3110, 0.5000, 0.8110], [0.6890, 0.5000, 0.1890], [0.7807, 0.7807, 0.0000], [0.0550, 0.3488, 0.7062], [0.3574, 0.6512, 0.7062], [0.6426, 0.3488, 0.2938], [0.9450, 0.6512, 0.2938]], "m_tot_mub_per_fu": 0.01, "rho_g_cm3": 7.57, "dft_energy_ev_per_atom": -4.63}

=====

{"formula": "Dy2SnGe", "functional": "PBE", "state": "relaxed", "lattice": [[3.3178, 0.0000, 0.0000], [0.0000, 2.9961, 6.0165], [0.0000, -2.9961, 6.0165]], "species": ["Dy", "Dy", "Sn", "Ge"], "fractional_positions": [[0.0000, 0.0000, 0.0000], [0.0000, 0.2913, 0.2913], [0.0000, 0.5544, 0.5544], [0.0000, 0.7741, 0.7741]], "m_tot_mub_per_fu": 0.17, "rho_g_cm3": 7.17, "dft_energy_ev_per_atom": -4.39}

=====

{"formula": "TbDySn2Ge2", "functional": "PBE", "state": "relaxed", "lattice": [[4.0731, 0.0000, 0.0000], [0.0000, 2.1471, 8.1852], [0.0000, -2.1471, 8.1852]], "species": ["Tb", "Dy", "Sn", "Sn", "Ge", "Ge"], "fractional_positions": [[0.0000, 0.0000, 0.0000], [0.5000, 0.1882, 0.1882], [0.0000, 0.3479, 0.3479], [0.5000, 0.8396, 0.8396], [0.0000, 0.6480, 0.6480], [0.5000, 0.5407, 0.5407]], "m_tot_mub_per_fu": 0.01, "rho_g_cm3": 8.17, "dft_energy_ev_per_atom": -5.05}